First-principles (GGA-PBE) data for PrCdGe after structural relaxation, as listed in the Open Quantum Materials Database.

Electronic total energy ... -3.62 eV/atom

a b c (Å): 6.8870 6.8870 6.8870
angles (deg): 90.00 90.00 90.00
Closest atoms and distances in Å follow each position.
Space group F-43m (No. 216)
Asymmetric unit:
1 Pr 0.0000 0.0000 0.0000 (multiplicity 4)  4 Cd 2.98
2 Cd 0.2500 0.2500 0.7500 (multiplicity 4)  4 Ge 2.98, 4 Pr 2.98
3 Ge 0.0000 0.0000 0.5000 (multiplicity 4)  4 Cd 2.98